# Sm2NiIr PBE optimized geometry
# magnetization	0.00	Bohr magnetons per cell
# energy	-6.513	eV/atom
# D(E_F)	0.4449	states/eV/atom
data_Sm2NiIr
_symmetry_space_group_name_H-M 'P 4/m m m'
_symmetry_Int_Tables_number 123
_symmetry_space_group_name_Hall '-P 4 2'
_cell_length_a 4.881
_cell_length_b 4.881
_cell_length_c 3.547
_cell_angle_alpha 90.00
_cell_angle_beta 90.00
_cell_angle_gamma 90.00
loop_
_atom_site_label
_atom_site_type_symbol
_atom_site_fract_x
_atom_site_fract_y
_atom_site_fract_z
Sm1 Sm 0.000 0.500 0.000
Ni1 Ni 0.000 0.000 0.500
Ir1 Ir 0.500 0.500 0.500